A plane-wave DFT calculation with PBE was carried out for a relaxed LaTlIn crystal.

Values from the calculation:
Mass density, g/cm3: 8.63
Calculated formation energy, eV per atom: -0.401

Unit cell a=5.490 b=5.490 c=6.766 alpha=90.00 beta=90.00 gamma=120.22
Fractional positions:
La 0.167 0.833 0.750
La 0.833 0.167 0.250
Tl 0.166 0.834 0.250
Tl 0.834 0.166 0.750
In 0.500 0.500 0.000
In 0.500 0.500 0.500